## Ce4CdN (GGA-PBE)

Data for crystalline Ce4CdN at its relaxed geometry.

Calculated values
energy relative to the elements, uncorrected: -0.48 eV/atom
density: 8168 kg/m³

a b c (Å): 6.020 7.795 6.667
angles (deg): 103.46 90.00 112.71
Site moments in Bohr magnetons follow the coordinates.
Atoms (fractional coordinates):
Ce1 0.519 0.182 0.472  0.44
Ce2 0.893 0.602 0.348  0.30
Ce3 0.337 0.818 0.028  0.44
Ce4 0.481 0.818 0.528  0.44
Ce5 0.107 0.398 0.652  0.30
Ce6 0.291 0.398 0.152  0.30
Ce7 0.709 0.602 0.848  0.30
Ce8 0.663 0.182 0.972  0.44
Cd1 0.068 0.000 0.750  0.00
Cd2 0.932 0.000 0.250  0.00
N1 0.500 0.500 0.500  -0.02
N2 0.000 0.500 0.000  -0.02